{"formula": "CdIrBr3", "functional": "PBE", "state": "optimized geometry", "crystal_system": "cubic", "m_tot_mub_per_fu": 0.00, "formation_energy_uncorrected_mev_per_atom": 157, "volume_a3_per_atom": 26.8, "space_group": "Pm-3m (221)", "e_tot_ev_per_atom": -2.802, "lattice": [[5.114, 0.000, 0.000], [0.000, 5.114, 0.000], [0.000, 0.000, 5.114]], "species": ["Cd", "Ir", "Br", "Br", "Br"], "fractional_positions": [[0.000, 0.000, 0.000], [0.500, 0.500, 0.500], [0.000, 0.500, 0.500], [0.500, 0.000, 0.500], [0.500, 0.500, 0.000]]}